Entry from the Alexandria database: a relaxed structure of Pa2Be4SiPt3 (PBE).

Cell lengths 3.9611, 3.9611, 9.6827 Å; angles 90.00, 90.00, 90.00 degrees
With the nearest neighbours (Å) after each atom.
Sites, in units of the cell vectors:
Pt  0.0000  0.0000  0.5000  4 Be 2.35
Si  0.5000  0.5000  0.5000  4 Be 2.35
Pa  0.5000  0.0000  0.2456  6 Pt 3.02-3.16, 8 Be 3.04-3.10, 2 Si 3.16
Pa  0.0000  0.5000  0.7544  6 Pt 3.02-3.16, 8 Be 3.04-3.10, 2 Si 3.16
Pt  0.0000  0.5000  0.1301  5 Be 2.31-2.35
Be  0.0000  0.0000  0.0000  4 Pt 2.35
Be  0.0000  0.5000  0.3686  3 Pt 2.31-2.35, 2 Si 2.35
Be  0.5000  0.5000  0.0000  4 Pt 2.35
Pt  0.5000  0.0000  0.8699  5 Be 2.31-2.35
Be  0.5000  0.0000  0.6314  3 Pt 2.31-2.35, 2 Si 2.35

Calculated values
Calculated density: 12.148 g cm⁻³
Energy relative to the elements, uncorrected: -0.668 eV per atom
Space group: P-4m2

***

Entry from the Alexandria database: a relaxed structure of NaTi4S8 (PBE).

Cell lengths 6.8315, 6.8315, 8.1708 Å; angles 65.29, 65.29, 60.00 degrees
With the nearest neighbours (Å) after each atom.
Sites, in units of the cell vectors:
Ti  0.0000  0.5000  0.0000  6 S 2.43-2.44
S  0.2329  0.7352  0.7990  3 Ti 2.43-2.44
S  0.7330  0.7330  0.8009  3 Ti 2.43
S  0.2329  0.2329  0.7990  3 Ti 2.43-2.44
Ti  0.5000  0.0000  0.0000  6 S 2.43-2.44
Ti  0.5000  0.5000  0.0000  6 S 2.43-2.44
S  0.7671  0.2648  0.2010  3 Ti 2.43-2.44
S  0.2670  0.2670  0.1991  3 Ti 2.43
S  0.2648  0.7671  0.2010  3 Ti 2.43-2.44
S  0.7352  0.2329  0.7990  3 Ti 2.43-2.44
Ti  0.0000  0.0000  0.0000  6 S 2.43
Na  0.5000  0.5000  0.5000  6 S 2.92
S  0.7671  0.7671  0.2010  3 Ti 2.43-2.44

Calculated values
Calculated density: 2.704 g cm⁻³
ΔE to the lowest computed polymorph: 0.000 eV per atom
Energy relative to the elements, uncorrected: -1.350 eV per atom
Space group: R-3m

***

Entry from the Alexandria database: a relaxed structure of K2AlP (PBE).

Cell lengths 4.5251, 4.5251, 11.8667 Å; angles 79.01, 79.01, 90.00 degrees
With the nearest neighbours (Å) after each atom.
Sites, in units of the cell vectors:
Al  0.2500  0.7500  0.5000  4 P 3.20, 4 K 3.30
Al  0.5000  0.5000  0.0000  4 P 3.20, 4 K 3.30
P  0.0000  0.0000  0.0000  4 Al 3.20, 4 K 3.25
K  0.8750  0.8929  0.7500  4 K 3.09-3.32, 2 P 3.25, 2 Al 3.30
K  0.6429  0.1250  0.2500  4 K 3.09-3.32, 2 P 3.25, 2 Al 3.30
K  0.1071  0.6250  0.2500  4 K 3.09-3.32, 2 P 3.25, 2 Al 3.30
P  0.7500  0.2500  0.5000  4 Al 3.20, 4 K 3.25
K  0.3750  0.3571  0.7500  4 K 3.09-3.32, 2 P 3.25, 2 Al 3.30

Calculated values
Calculated density: 1.932 g cm⁻³
ΔE to the lowest computed polymorph: 0.736 eV per atom
ΔH_f (0 K): 499 meV per atom
Space group: I-42d

***

Entry from the Alexandria database: a relaxed structure of Yb2Ga10Ru3 (PBE).

Cell lengths 8.9271, 8.9271, 6.4047 Å; angles 90.00, 90.00, 90.00 degrees
With the nearest neighbours (Å) after each atom.
Sites, in units of the cell vectors:
Ga  0.7938  0.0600  0.2917  5 Ga 2.67-2.95, 3 Ru 2.68-2.72, 1 Yb 2.96
Ga  0.2062  0.9400  0.7083  5 Ga 2.67-2.95, 3 Ru 2.68-2.72, 1 Yb 2.96
Ga  0.7062  0.5600  0.2917  5 Ga 2.67-2.95, 3 Ru 2.68-2.72, 1 Yb 2.96
Ga  0.5000  0.0000  0.7119  2 Ru 2.65, 5 Ga 2.68-2.71, 2 Yb 2.96
Ru  0.8197  0.3197  0.5000  10 Ga 2.65-2.72
Ga  0.5600  0.2938  0.7083  5 Ga 2.67-2.95, 3 Ru 2.68-2.72, 1 Yb 2.96
Ga  0.9400  0.7938  0.7083  5 Ga 2.67-2.95, 3 Ru 2.68-2.72, 1 Yb 2.96
Ga  0.2062  0.9400  0.2917  5 Ga 2.67-2.95, 3 Ru 2.68-2.72, 1 Yb 2.96
Ga  0.9400  0.7938  0.2917  5 Ga 2.67-2.95, 3 Ru 2.68-2.72, 1 Yb 2.96
Ru  0.0000  0.0000  0.0000  8 Ga 2.68
Ga  0.5600  0.2938  0.2917  5 Ga 2.67-2.95, 3 Ru 2.68-2.72, 1 Yb 2.96
Ru  0.1803  0.6803  0.5000  10 Ga 2.65-2.72
Ga  0.0600  0.2062  0.2917  5 Ga 2.67-2.95, 3 Ru 2.68-2.72, 1 Yb 2.96
Yb  0.3168  0.1832  0.0000  10 Ga 2.96-3.03, 4 Ru 3.20-3.27
Ga  0.5000  0.0000  0.2881  2 Ru 2.65, 5 Ga 2.68-2.71, 2 Yb 2.96
Ru  0.6803  0.8197  0.5000  10 Ga 2.65-2.72
Ga  0.7938  0.0600  0.7083  5 Ga 2.67-2.95, 3 Ru 2.68-2.72, 1 Yb 2.96
Ru  0.3197  0.1803  0.5000  10 Ga 2.65-2.72
Ga  0.4400  0.7062  0.7083  5 Ga 2.67-2.95, 3 Ru 2.68-2.72, 1 Yb 2.96
Ga  0.0000  0.5000  0.7119  2 Ru 2.65, 5 Ga 2.68-2.71, 2 Yb 2.96
Ga  0.0000  0.5000  0.2881  2 Ru 2.65, 5 Ga 2.68-2.71, 2 Yb 2.96
Yb  0.1832  0.6832  0.0000  10 Ga 2.96-3.03, 4 Ru 3.20-3.27
Ga  0.7062  0.5600  0.7083  5 Ga 2.67-2.95, 3 Ru 2.68-2.72, 1 Yb 2.96
Ga  0.2938  0.4400  0.2917  5 Ga 2.67-2.95, 3 Ru 2.68-2.72, 1 Yb 2.96
Ru  0.5000  0.5000  0.0000  8 Ga 2.68
Yb  0.6832  0.8168  0.0000  10 Ga 2.96-3.03, 4 Ru 3.20-3.27
Yb  0.8168  0.3168  0.0000  10 Ga 2.96-3.03, 4 Ru 3.20-3.27
Ga  0.0600  0.2062  0.7083  5 Ga 2.67-2.95, 3 Ru 2.68-2.72, 1 Yb 2.96
Ga  0.4400  0.7062  0.2917  5 Ga 2.67-2.95, 3 Ru 2.68-2.72, 1 Yb 2.96
Ga  0.2938  0.4400  0.7083  5 Ga 2.67-2.95, 3 Ru 2.68-2.72, 1 Yb 2.96

Calculated values
Calculated density: 8.761 g cm⁻³
ΔH_f (0 K): -456 meV per atom
Space group: P4/mbm

***

Entry from the Alexandria database: a relaxed structure of DyPaCdO6 (PBE).

Cell lengths 4.8509, 5.6785, 5.6785 Å; angles 120.00, 90.00, 90.00 degrees
With the nearest neighbours (Å) after each atom.
Sites, in units of the cell vectors:
Cd  0.5000  0.6667  0.3333  6 O 2.30
O  0.7479  0.3306  0.9811  1 Pa 2.17, 1 Dy 2.28, 1 Cd 2.30
O  0.2521  0.6505  0.9811  1 Pa 2.17, 1 Dy 2.28, 1 Cd 2.30
Pa  0.0000  0.3333  0.6667  6 O 2.17
O  0.2521  0.0189  0.6694  1 Pa 2.17, 1 Dy 2.28, 1 Cd 2.30
O  0.7479  0.6505  0.6694  1 Pa 2.17, 1 Dy 2.28, 1 Cd 2.30
O  0.2521  0.3306  0.3495  1 Pa 2.17, 1 Dy 2.28, 1 Cd 2.30
Dy  0.5000  0.0000  0.0000  6 O 2.28
O  0.7479  0.0189  0.3495  1 Pa 2.17, 1 Dy 2.28, 1 Cd 2.30

Calculated values
Calculated density: 7.379 g cm⁻³
Energy relative to the elements, uncorrected: -2.361 eV per atom
Space group: P312

***

Entry from the Alexandria database: a relaxed structure of PrPuTc4 (PBE).

Cell lengths 5.4422, 5.4422, 5.4422 Å; angles 60.00, 60.00, 60.00 degrees
With the nearest neighbours (Å) after each atom.
Sites, in units of the cell vectors:
Pr  0.2500  0.2500  0.2500  12 Tc 3.19, 4 Pu 3.33
Pu  0.0000  0.0000  0.0000  12 Tc 3.19, 4 Pr 3.33
Tc  0.6252  0.6252  0.1245  6 Tc 2.72
Tc  0.6252  0.1245  0.6252  6 Tc 2.72
Tc  0.1245  0.6252  0.6252  6 Tc 2.72
Tc  0.6252  0.6252  0.6252  6 Tc 2.72

Calculated values
Calculated density: 11.319 g cm⁻³
ΔH_f (0 K): 91 meV per atom
Space group: F-43m

***

Computed total DFT energy (no corrections) (eV/atom) in order:
-6.412, -6.420, -2.337, -4.533, -7.335, -10.005